PBE-GGA K3Np2O6, optimized geometry; mass density = 5562 kg/m3; formation energy from raw total energies = -2.39 eV/atom; VASP energy = -85.23 eV per cell; symmetry = I4/mmm, No. 139
1.0
-2.1600 2.1600 10.9959
2.1600 -2.1600 10.9959
2.1600 2.1600 -10.9959
K Np O
3 2 6
direct
0.0000 0.0000 0.0000
0.1918 0.1918 0.0000
0.8082 0.8082 0.0000
0.4038 0.4038 0.0000
0.5962 0.5962 0.0000
0.0865 0.5865 0.5000
0.3142 0.3142 0.0000
0.4135 0.9135 0.5000
0.5865 0.0865 0.5000
0.6858 0.6858 0.0000
0.9135 0.4135 0.5000